Entry 1:
Entry from the Alexandria database: a relaxed structure of KYTa2 (PBE).

Theoretical density: 7.543 g/cm³
ΔH_f (0 K): 723 meV/atom
Raw total energy: -85.124 eV for the cell shown

Structure (CIF):
```
data_KYTa2
_cell_length_a 3.2850
_cell_length_b 3.2850
_cell_length_c 34.6190
_cell_angle_alpha 90.00
_cell_angle_beta 90.00
_cell_angle_gamma 120.00
_space_group_name_H-M_alt 'R 3 m'
_space_group_IT_number 160
_space_group_name_Hall 'R 3 -2"'
loop_
_atom_site_label
_atom_site_fract_x
_atom_site_fract_y
_atom_site_fract_z
K1 0.0000 0.0000 0.0000
Y1 0.0000 0.0000 0.7755
Ta1 0.0000 0.0000 0.2408
Ta2 0.0000 0.0000 0.5168
```


Entry 2:
Entry from the Alexandria database: a relaxed structure of KTa2Zn (PBE).

Theoretical density: 9.122 g/cm³
ΔH_f (0 K): 1019 meV/atom
Raw total energy: -22.002 eV for the cell shown

Structure (CIF):
```
data_KTa2Zn
_cell_length_a 2.8789
_cell_length_b 5.1372
_cell_length_c 5.7406
_cell_angle_alpha 90.00
_cell_angle_beta 90.00
_cell_angle_gamma 90.00
_space_group_name_H-M_alt 'P m m m'
_space_group_IT_number 47
_space_group_name_Hall '-P 2 2'
loop_
_atom_site_label
_atom_site_fract_x
_atom_site_fract_y
_atom_site_fract_z
K1 0.0000 0.0000 0.0000
Ta1 0.0000 0.5000 0.5000
Ta2 0.5000 0.0000 0.5000
Zn1 0.5000 0.5000 0.0000
```


Entry 3:
Entry from the Alexandria database: a relaxed structure of KTaZn (PBE).

Theoretical density: 5.032 g/cm³
ΔH_f (0 K): 1024 meV/atom
Raw total energy: -22.301 eV for the cell shown

Structure (CIF):
```
data_KTaZn
_cell_length_a 4.9724
_cell_length_b 4.9724
_cell_length_c 7.6191
_cell_angle_alpha 90.00
_cell_angle_beta 90.00
_cell_angle_gamma 90.00
_space_group_name_H-M_alt 'P 4/n m m'
_space_group_IT_number 129
loop_
_space_group_symop_operation_xyz
'x,y,z'
'-x,-y,-z'
'-y+1/2,x,z'
'y+1/2,-x,-z'
'-x+1/2,-y+1/2,z'
'x+1/2,y+1/2,-z'
'y,-x+1/2,z'
'-y,x+1/2,-z'
'x+1/2,-y,-z'
'-x+1/2,y,z'
'-y,-x,-z'
'y,x,z'
'-x,y+1/2,-z'
'x,-y+1/2,z'
'y+1/2,x+1/2,-z'
'-y+1/2,-x+1/2,z'
loop_
_atom_site_label
_atom_site_fract_x
_atom_site_fract_y
_atom_site_fract_z
K1 0.2500 0.2500 0.1397
Ta1 0.2500 0.2500 0.5841
Zn1 0.2500 0.7500 0.5000
```


Entry 4:
Entry from the Alexandria database: a relaxed structure of K2TaZn (PBE).

Theoretical density: 4.296 g/cm³
ΔH_f (0 K): 951 meV/atom
Raw total energy: -23.032 eV for the cell shown

Structure (CIF):
```
data_K2TaZn
_cell_length_a 2.9383
_cell_length_b 6.4814
_cell_length_c 13.1734
_cell_angle_alpha 90.00
_cell_angle_beta 90.00
_cell_angle_gamma 90.00
_space_group_name_H-M_alt 'I m m 2'
_space_group_IT_number 44
_space_group_name_Hall 'I 2 -2'
loop_
_atom_site_label
_atom_site_fract_x
_atom_site_fract_y
_atom_site_fract_z
K1 0.0000 0.0000 0.0000
K2 0.0000 0.5000 0.2051
Ta1 0.0000 0.0000 0.4137
Zn1 0.0000 0.5000 0.7480
```


Which value of raw total energy does entry 4 give? -23.032 eV for the cell shown


Among the records above, which one has the lowest raw total energy? KYTa2


Number 1 is which compound? KYTa2


What is the formula in the second record? KTa2Zn